Material: SiPCl2
Method: DFT, PBE
State: optimized geometry Values from VASP.

Calculated values
The value obtained for the offset from the most stable computed form is 30.45 kJ per mole of atoms. As for the raw total energy: -0.138 hartree per atom. The crystal system is monoclinic. The uncorrected formation energy is -0.5 eV/f.u.

```
&SYSTEM
  ibrav = 0, nat = 4, ntyp = 3
/
ATOMIC_SPECIES
Si 28.09 Si.upf
P 30.97 P.upf
Cl 35.45 Cl.upf
CELL_PARAMETERS angstrom
7.787 -1.721 0.000
7.787 1.721 0.000
-0.065 0.000 3.488
ATOMIC_POSITIONS crystal
Si 0.000 0.000 0.000
P 0.500 0.500 0.500
Cl 0.362 0.362 0.245
Cl 0.638 0.638 0.755
```

***

Material: SiP2Cl
Method: DFT, PBE
State: optimized geometry Values from VASP.

Calculated values
The value obtained for the offset from the most stable computed form is 18.79 kJ per mole of atoms. As for the raw total energy: -0.161 hartree per atom. The crystal system is trigonal. The uncorrected formation energy is 0.6 eV/f.u.

```
&SYSTEM
  ibrav = 0, nat = 4, ntyp = 3
/
ATOMIC_SPECIES
Si 28.09 Si.upf
P 30.97 P.upf
Cl 35.45 Cl.upf
CELL_PARAMETERS angstrom
1.763 1.018 7.856
-1.763 1.018 7.856
0.000 -2.036 7.856
ATOMIC_POSITIONS crystal
Si 0.000 0.000 0.000
P 0.280 0.280 0.280
P 0.559 0.559 0.559
Cl 0.734 0.734 0.734
```

***

Material: SiPCl2
Method: DFT, PBE
State: optimized geometry Values from VASP.

Calculated values
The value obtained for the offset from the most stable computed form is 0.00 kJ per mole of atoms. As for the raw total energy: -0.150 hartree per atom. The crystal system is monoclinic. The uncorrected formation energy is -1.8 eV/f.u.

```
&SYSTEM
  ibrav = 0, nat = 4, ntyp = 3
/
ATOMIC_SPECIES
Si 28.09 Si.upf
P 30.97 P.upf
Cl 35.45 Cl.upf
CELL_PARAMETERS angstrom
3.494 0.000 0.000
0.000 3.526 0.000
-1.023 0.000 8.029
ATOMIC_POSITIONS crystal
Si 0.000 0.000 0.000
P 0.515 0.500 0.051
Cl 0.591 0.500 0.307
Cl 0.925 0.000 0.741
```

***

Material: SiPCl2
Method: DFT, PBE
State: optimized geometry Values from VASP.

Calculated values
The value obtained for the offset from the most stable computed form is 0.20 kJ per mole of atoms. As for the raw total energy: -0.150 hartree per atom. The crystal system is tetragonal. The uncorrected formation energy is -1.8 eV/f.u.

```
&SYSTEM
  ibrav = 0, nat = 4, ntyp = 3
/
ATOMIC_SPECIES
Si 28.09 Si.upf
P 30.97 P.upf
Cl 35.45 Cl.upf
CELL_PARAMETERS angstrom
3.509 0.000 0.000
0.000 3.509 0.000
0.000 0.000 7.862
ATOMIC_POSITIONS crystal
Si 0.000 0.000 0.000
P 0.500 0.500 0.053
Cl 0.000 0.000 0.735
Cl 0.500 0.500 0.315
```

***

Material: SiP2Cl
Method: DFT, PBE
State: optimized geometry Values from VASP.

Calculated values
The value obtained for the offset from the most stable computed form is 47.44 kJ per mole of atoms. As for the raw total energy: -0.150 hartree per atom. The crystal system is tetragonal. The uncorrected formation energy is 1.8 eV/f.u.

```
&SYSTEM
  ibrav = 0, nat = 8, ntyp = 3
/
ATOMIC_SPECIES
Si 28.09 Si.upf
P 30.97 P.upf
Cl 35.45 Cl.upf
CELL_PARAMETERS angstrom
-3.158 3.158 4.469
3.158 -3.158 4.469
3.158 3.158 -4.469
ATOMIC_POSITIONS crystal
Si 0.000 0.000 0.000
Si 0.750 0.250 0.500
P 0.062 0.625 0.937
P 0.375 0.312 0.437
P 0.688 0.125 0.063
P 0.875 0.938 0.563
Cl 0.250 0.750 0.500
Cl 0.500 0.500 0.000
```

***

Material: SiP4Cl
Method: DFT, PBE
State: optimized geometry Values from VASP.

Calculated values
As for the raw total energy: -0.159 hartree per atom. The crystal system is cubic. The uncorrected formation energy is 3.0 eV/f.u.

```
&SYSTEM
  ibrav = 0, nat = 6, ntyp = 3
/
ATOMIC_SPECIES
Si 28.09 Si.upf
P 30.97 P.upf
Cl 35.45 Cl.upf
CELL_PARAMETERS angstrom
0.000 3.946 3.946
3.946 0.000 3.946
3.946 3.946 0.000
ATOMIC_POSITIONS crystal
Si 0.000 0.000 0.000
P 0.400 0.400 0.400
P 0.400 0.400 0.800
P 0.400 0.800 0.400
P 0.800 0.400 0.400
Cl 0.750 0.750 0.750
```

***

Material: SiPCl2
Method: DFT, PBE
State: optimized geometry Values from VASP.

Calculated values
The value obtained for the offset from the most stable computed form is 87.27 kJ per mole of atoms. As for the raw total energy: -0.117 hartree per atom. The crystal system is trigonal. The uncorrected formation energy is 1.8 eV/f.u.

```
&SYSTEM
  ibrav = 0, nat = 4, ntyp = 3
/
ATOMIC_SPECIES
Si 28.09 Si.upf
P 30.97 P.upf
Cl 35.45 Cl.upf
CELL_PARAMETERS angstrom
1.550 0.895 8.989
-1.550 0.895 8.989
0.000 -1.790 8.989
ATOMIC_POSITIONS crystal
Si 0.000 0.000 0.000
P 0.500 0.500 0.500
Cl 0.085 0.085 0.085
Cl 0.915 0.915 0.915
```

***

Material: Si3PCl
Method: DFT, PBE
State: optimized geometry Values from VASP.

Calculated values
The value obtained for the offset from the most stable computed form is 0.00 kJ per mole of atoms. As for the raw total energy: -0.140 hartree per atom. The crystal system is cubic. The uncorrected formation energy is 4.5 eV/f.u.

```
&SYSTEM
  ibrav = 0, nat = 5, ntyp = 3
/
ATOMIC_SPECIES
Si 28.09 Si.upf
P 30.97 P.upf
Cl 35.45 Cl.upf
CELL_PARAMETERS angstrom
4.719 0.000 0.000
0.000 4.719 0.000
0.000 0.000 4.719
ATOMIC_POSITIONS crystal
Si 0.000 0.000 0.500
Si 0.000 0.500 0.000
Si 0.500 0.000 0.000
P 0.000 0.000 0.000
Cl 0.500 0.500 0.500
```

***

Material: SiPCl2
Method: DFT, PBE
State: optimized geometry Values from VASP.

Calculated values
The value obtained for the offset from the most stable computed form is 78.27 kJ per mole of atoms. As for the raw total energy: -0.120 hartree per atom. The crystal system is monoclinic. The uncorrected formation energy is 1.4 eV/f.u.

```
&SYSTEM
  ibrav = 0, nat = 4, ntyp = 3
/
ATOMIC_SPECIES
Si 28.09 Si.upf
P 30.97 P.upf
Cl 35.45 Cl.upf
CELL_PARAMETERS angstrom
3.034 -4.155 0.000
3.034 4.155 0.000
-2.936 0.000 3.211
ATOMIC_POSITIONS crystal
Si 0.000 0.000 0.000
P 0.500 0.500 0.000
Cl 0.000 0.500 0.500
Cl 0.500 0.000 0.500
```

***

Material: SiP2Cl
Method: DFT, PBE
State: optimized geometry Values from VASP.

Calculated values
The value obtained for the offset from the most stable computed form is 52.35 kJ per mole of atoms. As for the raw total energy: -0.148 hartree per atom. The crystal system is orthorhombic. The uncorrected formation energy is 2.0 eV/f.u.

```
&SYSTEM
  ibrav = 0, nat = 4, ntyp = 3
/
ATOMIC_SPECIES
Si 28.09 Si.upf
P 30.97 P.upf
Cl 35.45 Cl.upf
CELL_PARAMETERS angstrom
-1.606 2.252 4.702
1.606 -2.252 4.702
1.606 2.252 -4.702
ATOMIC_POSITIONS crystal
Si 0.000 0.000 0.000
P 0.198 0.698 0.500
P 0.802 0.302 0.500
Cl 0.500 0.500 0.000
```

***

Material: SiP2Cl
Method: DFT, PBE
State: optimized geometry Values from VASP.

Calculated values
The value obtained for the offset from the most stable computed form is 18.57 kJ per mole of atoms. As for the raw total energy: -0.161 hartree per atom. The crystal system is orthorhombic. The uncorrected formation energy is 0.6 eV/f.u.

```
&SYSTEM
  ibrav = 0, nat = 4, ntyp = 3
/
ATOMIC_SPECIES
Si 28.09 Si.upf
P 30.97 P.upf
Cl 35.45 Cl.upf
CELL_PARAMETERS angstrom
-1.637 1.741 8.106
1.637 -1.741 8.106
1.637 1.741 -8.106
ATOMIC_POSITIONS crystal
Si 0.000 0.000 0.000
P 0.575 0.575 0.000
P 0.666 0.166 0.500
Cl 0.392 0.892 0.500
```

***

Material: SiPCl2
Method: DFT, PBE
State: optimized geometry Values from VASP.

Calculated values
The value obtained for the offset from the most stable computed form is 92.32 kJ per mole of atoms. As for the raw total energy: -0.115 hartree per atom. The crystal system is tetragonal. The uncorrected formation energy is 2.0 eV/f.u.

```
&SYSTEM
  ibrav = 0, nat = 4, ntyp = 3
/
ATOMIC_SPECIES
Si 28.09 Si.upf
P 30.97 P.upf
Cl 35.45 Cl.upf
CELL_PARAMETERS angstrom
3.083 0.000 0.000
0.000 3.083 0.000
0.000 0.000 11.772
ATOMIC_POSITIONS crystal
Si 0.000 0.000 0.000
P 0.000 0.000 0.500
Cl 0.500 0.500 0.138
Cl 0.500 0.500 0.862
```

***

Material: SiPCl2
Method: DFT, PBE
State: optimized geometry Values from VASP.

Calculated values
The value obtained for the offset from the most stable computed form is 35.77 kJ per mole of atoms. As for the raw total energy: -0.136 hartree per atom. The crystal system is trigonal. The uncorrected formation energy is -0.3 eV/f.u.

```
&SYSTEM
  ibrav = 0, nat = 4, ntyp = 3
/
ATOMIC_SPECIES
Si 28.09 Si.upf
P 30.97 P.upf
Cl 35.45 Cl.upf
CELL_PARAMETERS angstrom
1.808 1.044 8.010
-1.808 1.044 8.010
0.000 -2.087 8.010
ATOMIC_POSITIONS crystal
Si 0.000 0.000 0.000
P 0.707 0.707 0.707
Cl 0.263 0.263 0.263
Cl 0.448 0.448 0.448
```

***

Material: SiP2Cl
Method: DFT, PBE
State: optimized geometry Values from VASP.

Calculated values
The value obtained for the offset from the most stable computed form is 23.72 kJ per mole of atoms. As for the raw total energy: -0.159 hartree per atom. The crystal system is trigonal. The uncorrected formation energy is 0.8 eV/f.u.

```
&SYSTEM
  ibrav = 0, nat = 4, ntyp = 3
/
ATOMIC_SPECIES
Si 28.09 Si.upf
P 30.97 P.upf
Cl 35.45 Cl.upf
CELL_PARAMETERS angstrom
1.822 1.052 6.261
-1.822 1.052 6.261
0.000 -2.104 6.261
ATOMIC_POSITIONS crystal
Si 0.000 0.000 0.000
P 0.272 0.272 0.272
P 0.728 0.728 0.728
Cl 0.500 0.500 0.500
```

***

Material: Si2P2Cl
Method: DFT, PBE
State: optimized geometry Values from VASP.

Calculated values
As for the raw total energy: -0.173 hartree per atom. The crystal system is tetragonal. The uncorrected formation energy is 0.0 eV/f.u.

```
&SYSTEM
  ibrav = 0, nat = 5, ntyp = 3
/
ATOMIC_SPECIES
Si 28.09 Si.upf
P 30.97 P.upf
Cl 35.45 Cl.upf
CELL_PARAMETERS angstrom
-2.189 2.189 4.413
2.189 -2.189 4.413
2.189 2.189 -4.413
ATOMIC_POSITIONS crystal
Si 0.136 0.136 0.000
Si 0.864 0.864 0.000
P 0.250 0.750 0.500
P 0.750 0.250 0.500
Cl 0.500 0.500 0.000
```

***

Material: SiP2Cl
Method: DFT, PBE
State: optimized geometry Values from VASP.

Calculated values
The value obtained for the offset from the most stable computed form is 34.53 kJ per mole of atoms. As for the raw total energy: -0.155 hartree per atom. The crystal system is tetragonal. The uncorrected formation energy is 1.2 eV/f.u.

```
&SYSTEM
  ibrav = 0, nat = 4, ntyp = 3
/
ATOMIC_SPECIES
Si 28.09 Si.upf
P 30.97 P.upf
Cl 35.45 Cl.upf
CELL_PARAMETERS angstrom
3.146 0.000 0.000
0.000 3.146 0.000
0.000 0.000 7.104
ATOMIC_POSITIONS crystal
Si 0.000 0.000 0.000
P 0.500 0.500 0.169
P 0.500 0.500 0.831
Cl 0.000 0.000 0.500
```

***

Material: SiP2Cl
Method: DFT, PBE
State: optimized geometry Values from VASP.

Calculated values
The value obtained for the offset from the most stable computed form is 58.33 kJ per mole of atoms. As for the raw total energy: -0.146 hartree per atom. The crystal system is tetragonal. The uncorrected formation energy is 2.2 eV/f.u.

```
&SYSTEM
  ibrav = 0, nat = 4, ntyp = 3
/
ATOMIC_SPECIES
Si 28.09 Si.upf
P 30.97 P.upf
Cl 35.45 Cl.upf
CELL_PARAMETERS angstrom
-1.750 1.750 5.987
1.750 -1.750 5.987
1.750 1.750 -5.987
ATOMIC_POSITIONS crystal
Si 0.000 0.000 0.000
P 0.250 0.750 0.500
P 0.750 0.250 0.500
Cl 0.500 0.500 0.000
```

***

Material: SiPCl2
Method: DFT, PBE
State: optimized geometry Values from VASP.

Calculated values
The value obtained for the offset from the most stable computed form is 57.58 kJ per mole of atoms. As for the raw total energy: -0.128 hartree per atom. The crystal system is orthorhombic. The uncorrected formation energy is 0.6 eV/f.u.

```
&SYSTEM
  ibrav = 0, nat = 4, ntyp = 3
/
ATOMIC_SPECIES
Si 28.09 Si.upf
P 30.97 P.upf
Cl 35.45 Cl.upf
CELL_PARAMETERS angstrom
1.783 -3.892 0.000
1.783 3.892 0.000
0.000 0.000 8.504
ATOMIC_POSITIONS crystal
Si 0.000 0.000 0.000
P 0.500 0.500 0.842
Cl 0.000 0.000 0.643
Cl 0.500 0.500 0.205
```

***

Material: SiPCl2
Method: DFT, PBE
State: optimized geometry Values from VASP.

Calculated values
The value obtained for the offset from the most stable computed form is 64.44 kJ per mole of atoms. As for the raw total energy: -0.126 hartree per atom. The crystal system is orthorhombic. The uncorrected formation energy is 0.9 eV/f.u.

```
&SYSTEM
  ibrav = 0, nat = 4, ntyp = 3
/
ATOMIC_SPECIES
Si 28.09 Si.upf
P 30.97 P.upf
Cl 35.45 Cl.upf
CELL_PARAMETERS angstrom
-1.737 2.100 6.607
1.737 -2.100 6.607
1.737 2.100 -6.607
ATOMIC_POSITIONS crystal
Si 0.000 0.000 0.000
P 0.884 0.384 0.500
Cl 0.359 0.859 0.500
Cl 0.588 0.588 0.000
```

***

Material: SiPCl2
Method: DFT, PBE
State: optimized geometry Values from VASP.

Calculated values
The value obtained for the offset from the most stable computed form is 89.71 kJ per mole of atoms. As for the raw total energy: -0.116 hartree per atom. The crystal system is orthorhombic. The uncorrected formation energy is 1.9 eV/f.u.

```
&SYSTEM
  ibrav = 0, nat = 4, ntyp = 3
/
ATOMIC_SPECIES
Si 28.09 Si.upf
P 30.97 P.upf
Cl 35.45 Cl.upf
CELL_PARAMETERS angstrom
1.555 -2.787 0.000
1.555 2.787 0.000
0.000 0.000 8.581
ATOMIC_POSITIONS crystal
Si 0.000 0.000 0.000
P 0.000 0.000 0.500
Cl 0.500 0.500 0.247
Cl 0.500 0.500 0.753
```